[1]
PPbIF6: relaxed, PBE.

Computed properties:
calculated total energy = -41.71 eV per cell
calculated volume = 18.99 A^3/atom
crystal system = triclinic
uncorrected formation energy = -212 kJ per mole of atoms

```
data_PPbIF6
_space_group_name_H-M_alt 'P 1'
_space_group_IT_number 1
_cell_length_a 4.808
_cell_length_b 5.156
_cell_length_c 7.178
_cell_angle_alpha 91.62
_cell_angle_beta 98.65
_cell_angle_gamma 103.23
loop_
_space_group_symop_operation_xyz
'x,y,z'
loop_
_atom_site_label
_atom_site_type_symbol
_atom_site_fract_x
_atom_site_fract_y
_atom_site_fract_z
P1 P 0.000 0.000 0.000
Pb1 Pb 0.277 0.919 0.575
I1 I 0.614 0.521 0.458
F1 F 0.094 0.756 0.882
F2 F 0.187 0.925 0.196
F3 F 0.289 0.202 0.949
F4 F 0.714 0.789 0.034
F5 F 0.820 0.069 0.794
F6 F 0.917 0.238 0.111
```

---

[2]
PS2IF: relaxed, PBE.

Computed properties:
calculated total energy = -13.09 eV per cell
calculated volume = 20.64 A^3/atom
crystal system = tetragonal
uncorrected formation energy = 77 kJ per mole of atoms
energy above the lowest structure with this stoichiometry = 0 meV/atom

```
data_PS2IF
_space_group_name_H-M_alt 'P 4/m m m'
_space_group_IT_number 123
_space_group_name_Hall '-P 4 2'
_cell_length_a 5.330
_cell_length_b 5.330
_cell_length_c 3.632
_cell_angle_alpha 90.00
_cell_angle_beta 90.00
_cell_angle_gamma 90.00
loop_
_atom_site_label
_atom_site_type_symbol
_atom_site_fract_x
_atom_site_fract_y
_atom_site_fract_z
P1 P 0.000 0.000 0.000
S1 S 0.000 0.500 0.500
I1 I 0.500 0.500 0.000
F1 F 0.000 0.000 0.500
```

---

- Which of these has the lowest calculated volume?
  PPbIF6

---

- The highest calculated volume belongs to which entry?
  PS2IF

---

- Which of these has the lowest calculated total energy?
  PPbIF6